Entry 1:
CsTl4Cd: optimized geometry, PBE.

Calculated values
DFT total energy = -1.907 eV per atom

abc: 5.781 8.155 10.923
angles: 111.92 105.34 90.00
Fractional positions:
Cs (0.206, 0.207, 0.413)
Cs (0.794, 0.793, 0.587)
Tl (0.853, 0.353, 0.706)
Tl (0.603, 0.349, 0.206)
Tl (0.000, 0.184, 0.000)
Tl (0.397, 0.143, 0.794)
Tl (0.147, 0.647, 0.294)
Tl (0.397, 0.651, 0.794)
Tl (0.000, 0.816, 0.000)
Tl (0.603, 0.857, 0.206)
Cd (0.742, 0.500, 0.000)
Cd (0.258, 0.500, 0.000)

Entry 2:
CsTl4Cd2: optimized geometry, PBE.

Calculated values
DFT total energy = -1.796 eV per atom

abc: 5.240 5.315 8.921
angles: 107.33 90.00 90.00
Fractional positions:
Cs (0.000, 0.000, 0.000)
Tl (0.500, 0.816, 0.631)
Tl (0.000, 0.691, 0.381)
Tl (0.500, 0.184, 0.369)
Tl (0.000, 0.309, 0.619)
Cd (0.500, 0.586, 0.172)
Cd (0.500, 0.414, 0.828)

Entry 3:
CsTl2Cd6: optimized geometry, PBE.

Calculated values
DFT total energy = -1.254 eV per atom

abc: 4.804 4.804 11.408
angles: 90.00 90.00 90.00
Fractional positions:
Cs (0.000, 0.000, 0.000)
Tl (0.500, 0.500, 0.161)
Tl (0.500, 0.500, 0.839)
Cd (0.000, 0.500, 0.327)
Cd (0.500, 0.000, 0.327)
Cd (0.000, 0.500, 0.673)
Cd (0.500, 0.000, 0.673)
Cd (0.500, 0.500, 0.500)
Cd (0.000, 0.000, 0.500)

Entry 4:
Cs3TlCd4: optimized geometry, PBE.

Calculated values
DFT total energy = -1.105 eV per atom

abc: 7.909 7.909 7.909
angles: 117.76 87.44 125.38
Fractional positions:
Cs (0.574, 0.248, 0.822)
Cs (0.926, 0.000, 0.926)
Cs (0.574, 0.752, 0.325)
Tl (0.998, 0.500, 0.498)
Cd (0.233, 0.687, 0.920)
Cd (0.233, 0.313, 0.546)
Cd (0.518, 0.210, 0.307)
Cd (0.097, 0.790, 0.307)

Entry 5:
CsTlCd2: optimized geometry, PBE.

Calculated values
DFT total energy = -1.136 eV per atom

abc: 4.602 5.721 5.721
angles: 90.00 90.00 90.00
Fractional positions:
Cs (0.500, 0.500, 0.500)
Tl (0.500, 0.000, 0.000)
Cd (0.000, 0.000, 0.500)
Cd (0.000, 0.500, 0.000)

Entry 6:
Cs4Tl2Cd3: optimized geometry, PBE.

Calculated values
DFT total energy = -1.262 eV per atom

abc: 5.111 9.426 10.091
angles: 105.31 104.67 90.00
Fractional positions:
Cs (0.241, 0.691, 0.482)
Cs (0.759, 0.309, 0.518)
Cs (0.581, 0.894, 0.161)
Cs (0.419, 0.106, 0.839)
Tl (0.415, 0.530, 0.829)
Tl (0.585, 0.470, 0.171)
Cd (0.090, 0.266, 0.181)
Cd (0.910, 0.734, 0.819)
Cd (0.000, 0.500, 0.000)

Entry 7:
CsTl6Cd: optimized geometry, PBE.

Calculated values
DFT total energy = -2.027 eV per atom

abc: 5.492 5.492 11.310
angles: 75.95 75.95 60.00
Fractional positions:
Cs (0.500, 0.500, 0.500)
Tl (0.636, 0.636, 0.093)
Tl (0.093, 0.093, 0.720)
Tl (0.907, 0.907, 0.280)
Tl (0.364, 0.364, 0.907)
Tl (0.259, 0.259, 0.222)
Tl (0.741, 0.741, 0.778)
Cd (0.000, 0.000, 0.000)

Entry 8:
CsTl2Cd9: optimized geometry, PBE.

Calculated values
DFT total energy = -1.163 eV per atom

abc: 6.245 6.245 10.447
angles: 72.61 72.61 60.00
Fractional positions:
Cs (0.000, 0.000, 0.000)
Tl (0.856, 0.856, 0.433)
Tl (0.144, 0.144, 0.567)
Cd (0.666, 0.666, 0.001)
Cd (0.334, 0.334, 0.999)
Cd (0.500, 0.500, 0.500)
Cd (0.411, 0.411, 0.259)
Cd (0.919, 0.411, 0.259)
Cd (0.411, 0.919, 0.259)
Cd (0.589, 0.589, 0.741)
Cd (0.589, 0.081, 0.741)
Cd (0.081, 0.589, 0.741)

Question: DFT total energy of number 4 (Cs3TlCd4)?
Answer: -1.105 eV per atom

Question: DFT total energy of number 6 (Cs4Tl2Cd3)?
Answer: -1.262 eV per atom